one) A plane-wave DFT calculation with PBEsol was carried out for CaZrBr2 after structural relaxation.

Calculated values
DOS(E_F)   6.81 states/eV per cell

Cell: 3.3737 6.4213 9.2717 Å, 90.00 90.00 90.00°
Closest atoms and distances in Å follow each position.
Space group Cmmm (No. 65)
Symmetry-distinct sites (fractional):
Ca  0.0000  0.0000  0.0000 [2 per cell]  4 Br 2.97
Zr  0.0000  0.0000  0.5000 [2 per cell]  4 Br 2.77
Br  0.0000  0.5000  0.2632 [4 per cell]  2 Zr 2.77, 2 Ca 2.97

two) A plane-wave DFT calculation with PBEsol was carried out for CaZrBr2 after structural relaxation.

Calculated values
DOS(E_F)   4.01 states/eV per cell

Cell: 3.3889 4.5697 6.4061 Å, 90.00 90.00 90.00°
Closest atoms and distances in Å follow each position.
Space group Pmmm (No. 47)
Symmetry-distinct sites (fractional):
Ca  0.0000  0.0000  0.0000 [1 per cell]  4 Br 2.84
Zr  0.5000  0.0000  0.5000 [1 per cell]  4 Br 2.84
Br  0.0000  0.5000  0.5000 [1 per cell]  4 Zr 2.84
Br  0.5000  0.5000  0.0000 [1 per cell]  4 Ca 2.84

The most stable arrangement is one), and the next structure is 0.053 eV/atom less stable.